Run i
{"formula": "Li8BiO6", "functional": "GGA-PBEsol", "state": "optimized geometry", "lattice_angstrom": [[2.7873, 1.6092, 5.3172], [-2.7873, 1.6092, 5.3172], [0.0000, -3.2185, 5.3172]], "species": ["Li", "Li", "Li", "Li", "Li", "Li", "Li", "Li", "Bi", "O", "O", "O", "O", "O", "O"], "frac_coords": [[0.0074, 0.7272, 0.3996], [0.1464, 0.1464, 0.1464], [0.2728, 0.6004, 0.9926], [0.3996, 0.0074, 0.7272], [0.6004, 0.9926, 0.2728], [0.7272, 0.3996, 0.0074], [0.8536, 0.8536, 0.8536], [0.9926, 0.2728, 0.6004], [0.5000, 0.5000, 0.5000], [0.1019, 0.3968, 0.7439], [0.2561, 0.8981, 0.6032], [0.3968, 0.7439, 0.1019], [0.6032, 0.2561, 0.8981], [0.7439, 0.1019, 0.3968], [0.8981, 0.6032, 0.2561]], "spacegroup": "R-3 (148)", "m_tot_mub_per_cell": 0.64}

***

Run ii
{"formula": "Li8BiO6", "functional": "GGA-PBEsol", "state": "optimized geometry", "lattice_angstrom": [[5.7457, 0.0000, 0.0000], [-2.8728, 4.9759, 0.0000], [0.0000, 0.0000, 10.7837]], "species": ["Li", "Li", "Li", "Li", "Li", "Li", "Li", "Li", "Li", "Li", "Li", "Li", "Li", "Li", "Li", "Li", "Bi", "Bi", "O", "O", "O", "O", "O", "O", "O", "O", "O", "O", "O", "O"], "frac_coords": [[0.0000, 0.3217, 0.0000], [0.0000, 0.4156, 0.6408], [0.0000, 0.5844, 0.1408], [0.0000, 0.6783, 0.5000], [0.3217, 0.0000, 0.0000], [0.3217, 0.3217, 0.5000], [0.3333, 0.6667, 0.3651], [0.3333, 0.6667, 0.8651], [0.4156, 0.0000, 0.6408], [0.4156, 0.4156, 0.1408], [0.5844, 0.0000, 0.1408], [0.5844, 0.5844, 0.6408], [0.6667, 0.3333, 0.3651], [0.6667, 0.3333, 0.8651], [0.6783, 0.0000, 0.5000], [0.6783, 0.6783, 0.0000], [0.0000, 0.0000, 0.2785], [0.0000, 0.0000, 0.7785], [0.0000, 0.0000, 0.0786], [0.0000, 0.0000, 0.5786], [0.0000, 0.3593, 0.8188], [0.0000, 0.6407, 0.3188], [0.3333, 0.6667, 0.0547], [0.3333, 0.6667, 0.5547], [0.3593, 0.0000, 0.8188], [0.3593, 0.3593, 0.3188], [0.6407, 0.0000, 0.3188], [0.6407, 0.6407, 0.8188], [0.6667, 0.3333, 0.0547], [0.6667, 0.3333, 0.5547]], "spacegroup": "P6_3cm (185)", "m_tot_mub_per_cell": 1.58}

***

The data favor run i; the next most stable structure lies 0.053 eV/atom above it.